[1]
{
  "formula": "K2HfZnSe4",
  "functional": "PBE",
  "state": "optimized geometry",
  "lattice_angstrom": [[7.326, -0.004, -0.004], [-0.006, 7.328, -0.004], [-3.658, -3.659, 4.933]],
  "species": ["Se", "Se", "Se", "Se", "K", "K", "Hf", "Zn"],
  "frac_coords": [[0.693, 0.603, 0.711], [0.018, 0.108, 0.711], [0.365, 0.779, 0.234], [0.869, 0.454, 0.234], [0.235, 0.235, 0.471], [0.485, 0.985, 0.971], [0.986, 0.486, 0.972], [0.736, 0.736, 0.472]],
  "raw_formation_energy_ev_per_atom": -1.1145,
  "magmom_total_mub_per_fu": 0.00,
  "spacegroup": "C2"
}

---

[2]
{
  "formula": "Ba4CaCl",
  "functional": "PBE",
  "state": "optimized geometry",
  "lattice_angstrom": [[0.000, 5.607, 5.607], [5.607, 0.000, 5.607], [5.607, 5.607, 0.000]],
  "species": ["Ba", "Ba", "Ba", "Ba", "Ca", "Cl"],
  "frac_coords": [[0.376, 0.376, 0.873], [0.376, 0.873, 0.376], [0.376, 0.376, 0.376], [0.873, 0.376, 0.376], [0.750, 0.750, 0.750], [0.000, 0.000, 0.000]],
  "raw_formation_energy_ev_per_atom": 0.0544,
  "magmom_total_mub_per_fu": 1.52,
  "spacegroup": "F-43m"
}

---

[3]
{
  "formula": "NaGeBr3",
  "functional": "PBE",
  "state": "optimized geometry",
  "lattice_angstrom": [[-4.904, 0.658, -2.890], [2.789, -4.458, -5.748], [-4.749, -4.857, 6.955]],
  "species": ["Na", "Na", "Ge", "Ge", "Br", "Br", "Br", "Br", "Br", "Br"],
  "frac_coords": [[0.250, 0.407, 0.606], [0.750, 0.593, 0.394], [0.750, 0.811, 0.847], [0.250, 0.189, 0.153], [0.750, 0.454, 0.641], [0.750, 0.214, 0.124], [0.750, 0.953, 0.663], [0.250, 0.786, 0.876], [0.250, 0.546, 0.359], [0.250, 0.047, 0.337]],
  "raw_formation_energy_ev_per_atom": -0.9254,
  "magmom_total_mub_per_fu": 0.00,
  "spacegroup": "P2_1/m",
  "e_above_lowest_polymorph_mev_per_atom": 24.4
}

---

[4]
{
  "formula": "PdF2",
  "functional": "PBE",
  "state": "optimized geometry",
  "lattice_angstrom": [[-1.224, 3.823, 2.540], [0.057, -3.031, 4.589], [6.739, 2.127, 0.047]],
  "species": ["F", "F", "F", "F", "F", "F", "F", "F", "Pd", "Pd", "Pd", "Pd"],
  "frac_coords": [[0.186, 0.570, 0.363], [0.685, 0.930, 0.638], [0.185, 0.070, 0.862], [0.686, 0.430, 0.137], [0.814, 0.430, 0.637], [0.314, 0.570, 0.863], [0.315, 0.070, 0.362], [0.815, 0.930, 0.138], [0.000, 0.250, 0.250], [0.500, 0.250, 0.750], [0.500, 0.750, 0.250], [0.000, 0.750, 0.750]],
  "raw_formation_energy_ev_per_atom": -1.1427,
  "magmom_total_mub_per_fu": 0.00,
  "spacegroup": "P2_1/c"
}

---

[5]
{
  "formula": "Tm3Rh",
  "functional": "PBE",
  "state": "optimized geometry",
  "lattice_angstrom": [[3.572, 0.000, 0.000], [0.000, 5.209, 0.000], [-1.786, -2.604, 5.312]],
  "species": ["Rh", "Tm", "Tm", "Tm"],
  "frac_coords": [[0.000, 0.917, 0.000], [0.700, 0.116, 0.399], [0.300, 0.717, 0.601], [0.500, 0.416, 0.000]],
  "magmom_total_mub_per_fu": 0.00,
  "spacegroup": "Imm2",
  "formation_energy_ev_per_atom": -0.50
}

---

[6]
{
  "formula": "Ca12PbAu6",
  "functional": "PBE",
  "state": "optimized geometry",
  "lattice_angstrom": [[-5.490, -6.929, 1.998], [2.829, -0.763, -8.577], [7.155, -0.113, 5.563]],
  "species": ["Pb", "Au", "Au", "Au", "Au", "Au", "Au", "Ca", "Ca", "Ca", "Ca", "Ca", "Ca", "Ca", "Ca", "Ca", "Ca", "Ca", "Ca"],
  "frac_coords": [[0.000, 0.000, 0.000], [0.634, 0.500, 0.134], [0.866, 0.366, 0.500], [0.500, 0.866, 0.366], [0.366, 0.500, 0.866], [0.500, 0.134, 0.634], [0.134, 0.634, 0.500], [0.476, 0.179, 0.297], [0.117, 0.821, 0.297], [0.821, 0.297, 0.117], [0.179, 0.297, 0.476], [0.297, 0.476, 0.179], [0.524, 0.821, 0.703], [0.821, 0.703, 0.524], [0.703, 0.524, 0.821], [0.883, 0.179, 0.703], [0.703, 0.883, 0.179], [0.179, 0.703, 0.883], [0.297, 0.117, 0.821]],
  "magmom_total_mub_per_fu": 0.00,
  "spacegroup": "Im-3",
  "formation_energy_ev_per_atom": -0.59
}

---

[7]
{
  "formula": "YIrW2",
  "functional": "PBE",
  "state": "optimized geometry",
  "lattice_angstrom": [[-3.200, -3.172, -1.104], [0.772, -2.956, -3.491], [0.778, -4.486, 0.889]],
  "species": ["W", "W", "Ir", "Y"],
  "frac_coords": [[0.250, 0.250, 0.250], [0.000, 0.000, 0.000], [0.500, 0.500, 0.500], [0.750, 0.750, 0.750]],
  "magmom_total_mub_per_fu": 0.00,
  "spacegroup": "F-43m",
  "e_above_lowest_polymorph_mev_per_atom": 57.7,
  "formation_energy_ev_per_atom": 0.13
}

---

[8]
{
  "formula": "Ba2PuSbO6",
  "functional": "PBE",
  "state": "optimized geometry",
  "lattice_angstrom": [[-0.735, 4.161, 1.045], [-3.146, -1.243, 2.739], [5.853, -0.589, 6.456]],
  "species": ["O", "O", "O", "O", "O", "O", "Ba", "Ba", "Sb", "Pu"],
  "frac_coords": [[0.500, 0.500, 0.747], [0.000, 0.500, 0.500], [0.500, 0.000, 0.500], [0.000, 0.500, 0.000], [0.500, 0.500, 0.253], [0.500, 0.000, 0.000], [0.000, 0.000, 0.262], [0.000, 0.000, 0.738], [0.500, 0.500, 0.500], [0.500, 0.500, 0.000]],
  "raw_formation_energy_ev_per_atom": -2.4799,
  "magmom_total_mub_per_fu": 3.83,
  "spacegroup": "P4/mmm"
}

---

[9]
{
  "formula": "SrHfCu2",
  "functional": "PBE",
  "state": "optimized geometry",
  "lattice_angstrom": [[-1.080, -7.322, 0.837], [3.941, 0.141, 6.318], [-1.553, -2.939, 5.424]],
  "species": ["Sr", "Sr", "Cu", "Cu", "Cu", "Cu", "Hf", "Hf"],
  "frac_coords": [[0.250, 0.750, 0.500], [0.500, 0.500, 0.000], [0.875, 0.923, 0.750], [0.077, 0.625, 0.250], [0.375, 0.327, 0.750], [0.673, 0.125, 0.250], [0.000, 0.000, 0.000], [0.750, 0.250, 0.500]],
  "magmom_total_mub_per_fu": 0.00,
  "spacegroup": "I-42d",
  "e_above_lowest_polymorph_mev_per_atom": 504.5,
  "formation_energy_ev_per_atom": 0.50
}

---

[10]
{
  "formula": "Sc2AlO",
  "functional": "PBE",
  "state": "optimized geometry",
  "lattice_angstrom": [[1.822, 0.000, 8.129], [-0.911, 1.578, 8.129], [-0.911, -1.578, 8.129]],
  "species": ["Sc", "Sc", "Al", "O"],
  "frac_coords": [[0.885, 0.885, 0.885], [0.115, 0.115, 0.115], [0.000, 0.000, 0.000], [0.500, 0.500, 0.500]],
  "raw_formation_energy_ev_per_atom": -1.2241,
  "magmom_total_mub_per_fu": 0.00,
  "spacegroup": "R-3m",
  "e_above_lowest_polymorph_mev_per_atom": 177.3
}

---

[11]
{
  "formula": "Zn2FeNi",
  "functional": "PBE",
  "state": "optimized geometry",
  "lattice_angstrom": [[4.506, 0.000, 0.021], [3.738, 2.516, 0.021], [0.828, 0.253, 4.466]],
  "species": ["Zn", "Zn", "Fe", "Ni"],
  "frac_coords": [[0.503, 0.503, 0.496], [0.997, 0.997, 0.004], [0.750, 0.750, 0.750], [0.250, 0.250, 0.250]],
  "magmom_total_mub_per_fu": 2.93,
  "spacegroup": "C2/m",
  "formation_energy_ev_per_atom": -0.01
}

---

[12]
{
  "formula": "KCaRh2",
  "functional": "PBE",
  "state": "optimized geometry",
  "lattice_angstrom": [[-4.486, 1.601, 1.189], [-0.802, -4.110, 2.563], [3.937, 2.771, 0.960]],
  "species": ["Rh", "Rh", "Ca", "K"],
  "frac_coords": [[0.000, 0.000, 0.000], [0.250, 0.750, 0.500], [0.500, 0.500, 0.000], [0.750, 0.250, 0.500]],
  "magmom_total_mub_per_fu": 1.26,
  "spacegroup": "I-4m2",
  "e_above_lowest_polymorph_mev_per_atom": 383.0,
  "formation_energy_ev_per_atom": 0.47
}